1.
Entry from Alexandria via LeMat-Bulk: a geometry-optimized BaCdAs2 structure (GGA-PBE).

## Properties
M_tot in μB per formula unit: 0.000
Energy relative to the elements in eV/atom: -0.30
VASP energy in eV/f.u.: -13.34

a b c (Å): 5.6110 5.6332 6.8064
angles (deg): 90.00 90.00 90.00
With the nearest neighbours (Å) after each atom.
Space group Cmmm (No. 65)
Symmetry-distinct sites (fractional):
Ba 0.0000 0.0000 0.0000 (multiplicity 2)  2 Cd 3.40, 8 As 3.52-3.53
Cd 0.0000 0.0000 0.5000 (multiplicity 2)  8 As 3.08-3.09, 2 Ba 3.40
As 0.0000 0.5000 0.3118 (multiplicity 4)  1 As 2.56

---

2.
Entry from Alexandria via LeMat-Bulk: a geometry-optimized BaCd2As structure (GGA-PBE).

## Properties
M_tot in μB per formula unit: 0.000
Energy relative to the elements in eV/atom: -0.33
VASP energy in eV/f.u.: -9.71

a b c (Å): 10.8895 4.2080 5.4957
angles (deg): 90.00 110.05 90.00
With the nearest neighbours (Å) after each atom.
Space group C2/m (No. 12)
Symmetry-distinct sites (fractional):
Ba 0.0000 0.0000 0.0000 (multiplicity 2)  8 Cd 3.40-3.69, 4 As 3.46
Cd 0.2128 0.0000 0.6692 (multiplicity 4)  2 As 3.03, 2 Cd 3.09
As 0.0000 0.5000 0.5000 (multiplicity 2)  4 Cd 3.03

---

- What is the energy relative to the elements in the first record?
  -0.30 eV/atom